Compound: NaY2Os
Source: Alexandria via LeMat-Bulk
Functional: PBE-GGA
Structure: relaxed

abc: 6.625 6.625 6.625
angles: 104.94 104.94 118.96
Positions (direct):
Na1 0.000 0.000 0.000
Na2 0.750 0.250 0.500
Y1 0.180 0.625 0.055
Y2 0.375 0.430 0.555
Y3 0.570 0.125 0.945
Y4 0.875 0.820 0.445
Os1 0.250 0.750 0.500
Os2 0.500 0.500 0.000

Properties
- total moment (Bohr magnetons per cell) = 0.0
- DFT total energy (eV per atom) = -5.929
- energy of formation (eV per atom) = 0.44